# 1
DFT (PBE) results for a geometry-optimized HfCoSb3 structure.

Unit cell a=4.924 b=4.924 c=4.924 alpha=90.00 beta=90.00 gamma=90.00
Sites, in units of the cell vectors:
Hf: 0.000 0.000 0.000
Co: 0.500 0.500 0.500
Sb: 0.000 0.500 0.500
Sb: 0.500 0.000 0.500
Sb: 0.500 0.500 0.000

Its space-group type is Pm-3m. The total magnetization comes out at 0.00 μB/f.u. The calculated volume comes out at 119.4 Å³/f.u. The value obtained for the excess energy over the best structure of this formula in the dataset is 0.0 meV/atom. The density of states at the Fermi level is 4.9 states/eV/cell.

# 2
DFT (PBE) results for a geometry-optimized Ti3ZnPd structure.

Unit cell a=4.622 b=4.622 c=4.622 alpha=90.00 beta=90.00 gamma=90.00
Sites, in units of the cell vectors:
Ti: 0.000 0.000 0.500
Ti: 0.000 0.500 0.000
Ti: 0.500 0.000 0.000
Zn: 0.000 0.000 0.000
Pd: 0.500 0.500 0.500

Its space-group type is Pm-3m. The total magnetization comes out at 2.10 μB/f.u. Its energy relative to the elements is 0.74 eV per atom. The calculated volume comes out at 98.8 Å³/f.u. The value obtained for the excess energy over the best structure of this formula in the dataset is 968.1 meV/atom. The density of states at the Fermi level is 7.7 states/eV/cell.

# 3
DFT (PBE) results for a geometry-optimized Tb2SmYP4 structure.

Unit cell a=7.004 b=4.046 c=7.005 alpha=90.00 beta=109.46 gamma=90.00
Sites, in units of the cell vectors:
Tb: 0.000 0.000 0.000
Tb: 0.500 0.500 0.000
Sm: 0.000 0.500 0.500
Y: 0.500 0.000 0.500
P: 0.252 0.500 0.249
P: 0.253 0.000 0.753
P: 0.747 0.000 0.247
P: 0.748 0.500 0.751

Its space-group type is P2/m. The total magnetization comes out at 0.00 μB/f.u. Its energy relative to the elements is -1.60 eV per atom. The calculated volume comes out at 187.2 Å³/f.u. The density of states at the Fermi level is 0.8 states/eV/cell.

# 4
DFT (PBE) results for a geometry-optimized NaTl structure.

Unit cell a=8.059 b=6.411 c=9.393 alpha=90.00 beta=90.00 gamma=90.00
Sites, in units of the cell vectors:
Na: 0.144 0.250 0.007
Na: 0.191 0.750 0.196
Na: 0.309 0.250 0.696
Na: 0.356 0.750 0.507
Na: 0.644 0.250 0.493
Na: 0.691 0.750 0.304
Na: 0.809 0.250 0.804
Na: 0.856 0.750 0.993
Tl: 0.000 0.000 0.500
Tl: 0.000 0.500 0.500
Tl: 0.191 0.750 0.816
Tl: 0.309 0.250 0.316
Tl: 0.500 0.000 0.000
Tl: 0.500 0.500 0.000
Tl: 0.691 0.750 0.684
Tl: 0.809 0.250 0.184

Its space-group type is Pnma. The total magnetization comes out at 0.00 μB/f.u. Its energy relative to the elements is -0.06 eV per atom. The calculated volume comes out at 60.7 Å³/f.u. The density of states at the Fermi level is 8.3 states/eV/cell.

Repeat the fourth record exactly.
DFT (PBE) results for a geometry-optimized NaTl structure.

Unit cell a=8.059 b=6.411 c=9.393 alpha=90.00 beta=90.00 gamma=90.00
Sites, in units of the cell vectors:
Na: 0.144 0.250 0.007
Na: 0.191 0.750 0.196
Na: 0.309 0.250 0.696
Na: 0.356 0.750 0.507
Na: 0.644 0.250 0.493
Na: 0.691 0.750 0.304
Na: 0.809 0.250 0.804
Na: 0.856 0.750 0.993
Tl: 0.000 0.000 0.500
Tl: 0.000 0.500 0.500
Tl: 0.191 0.750 0.816
Tl: 0.309 0.250 0.316
Tl: 0.500 0.000 0.000
Tl: 0.500 0.500 0.000
Tl: 0.691 0.750 0.684
Tl: 0.809 0.250 0.184

Its space-group type is Pnma. The total magnetization comes out at 0.00 μB/f.u. Its energy relative to the elements is -0.06 eV per atom. The calculated volume comes out at 60.7 Å³/f.u. The density of states at the Fermi level is 8.3 states/eV/cell.

> Among the records above, which one has the lowest calculated volume?

NaTl